A geometry-optimized Li3Tc structure, computed with PBE.

It has space group C2/m (No. 12), with a = 9.483 Å, b = 2.478 Å, c = 5.088 Å, α = 90.00°, β = 95.75° and γ = 90.00°. Symmetry generates all atoms from Li at (0.000, 0.000, 0.000), Li at (0.246, 0.000, 0.730) and Tc at (0.000, 0.500, 0.500).

The formation energy comes out at 0.30 eV per atom. The density of states at the Fermi level is 0.70 states/eV/atom.